[1]
# Ba2CdFeO4, optimized geometry, DFT PBE with a Hubbard U
data_Ba2CdFeO4
_cell_length_a 6.2008
_cell_length_b 6.2008
_cell_length_c 7.4271
_cell_angle_alpha 90.00
_cell_angle_beta 90.00
_cell_angle_gamma 90.00
_space_group_name_H-M_alt 'I -4'
_space_group_IT_number 82
_space_group_name_Hall 'I -4'
loop_
_atom_site_label
_atom_site_type_symbol
_atom_site_fract_x
_atom_site_fract_y
_atom_site_fract_z
Ba1 Ba 0.0000 0.0000 0.0000
Ba2 Ba 0.0000 0.5000 0.2500
Cd1 Cd 0.0000 0.0000 0.5000
Fe1 Fe 0.0000 0.5000 0.7500
O1 O 0.1865 0.7427 0.6459
# Calculated total energy   -5.58 eV/atom



[2]
# Ba3CdFe2O6, optimized geometry, DFT PBE with a Hubbard U
data_Ba3CdFe2O6
_cell_length_a 6.2498
_cell_length_b 6.2498
_cell_length_c 6.9693
_cell_angle_alpha 90.00
_cell_angle_beta 90.00
_cell_angle_gamma 120.00
_space_group_name_H-M_alt 'P -3 m 1'
_space_group_IT_number 164
_space_group_name_Hall '-P 3 2"'
loop_
_atom_site_label
_atom_site_type_symbol
_atom_site_fract_x
_atom_site_fract_y
_atom_site_fract_z
Ba1 Ba 0.0000 0.0000 0.0000
Ba2 Ba 0.3333 0.6667 0.6611
Cd1 Cd 0.0000 0.0000 0.5000
Fe1 Fe 0.3333 0.6667 0.2234
O1 O 0.1663 0.3326 0.2888
# Calculated total energy   -5.74 eV/atom



[3]
# BaCd2FeO4, optimized geometry, DFT PBE with a Hubbard U
data_BaCd2FeO4
_cell_length_a 3.5302
_cell_length_b 11.7432
_cell_length_c 11.8674
_cell_angle_alpha 90.00
_cell_angle_beta 90.00
_cell_angle_gamma 90.00
_space_group_name_H-M_alt 'C m c m'
_space_group_IT_number 63
_space_group_name_Hall '-C 2c 2'
loop_
_atom_site_label
_atom_site_type_symbol
_atom_site_fract_x
_atom_site_fract_y
_atom_site_fract_z
Ba1 Ba 0.0000 0.1188 0.2500
Cd1 Cd 0.0000 0.3700 0.0373
Fe1 Fe 0.0000 0.1435 0.7500
O1 O 0.0000 0.0000 0.0000
O2 O 0.0000 0.2542 0.6175
O3 O 0.0000 0.4364 0.2500
# Calculated total energy   -5.07 eV/atom